First-principles (meta-GGA SCAN) data for a PBEsol-optimized structure of Li4Mn3V3Fe2O16, as listed in Alexandria via LeMat-Bulk.

Summary:
DFT total energy, eV per formula unit: -316.7
DOS(E_F), states/eV per atom: 0.16
V, Å³/cell: 265
ΔE_f (raw), eV per atom: -2.2856

Unit cell a=5.6565 b=5.6661 c=9.5342 alpha=90.56 beta=90.02 gamma=119.83
Last column: nearest neighbours and their distance in Å.
Space group P1 (No. 1)
Symmetry-distinct sites (fractional):
Li (0.0000, 0.0000, 0.0000) (multiplicity 1)  4 O 1.77-1.91
Li (0.0016, 0.0100, 0.4968) (multiplicity 1)  4 O 1.77-1.91
Li (0.3393, 0.6702, 0.1007) (multiplicity 1)  4 O 1.89-1.97
Li (0.6658, 0.3331, 0.5973) (multiplicity 1)  4 O 1.88-1.94
Mn (0.1633, 0.3264, 0.7832) (multiplicity 1)  6 O 1.88-1.94
Mn (0.3353, 0.1711, 0.2802) (multiplicity 1)  6 O 1.89-1.95
Mn (0.8305, 0.1801, 0.2810) (multiplicity 1)  6 O 1.88-1.95
V (0.1722, 0.8215, 0.7773) (multiplicity 1)  6 O 1.85-1.96
V (0.6492, 0.8231, 0.7778) (multiplicity 1)  6 O 1.87-1.96
V (0.8317, 0.6469, 0.2793) (multiplicity 1)  6 O 1.89-1.99
Fe (0.3413, 0.6713, 0.4962) (multiplicity 1)  5 O 1.95-2.14
Fe (0.6667, 0.3344, 0.9994) (multiplicity 1)  6 O 1.96-2.15
O (0.0358, 0.5137, 0.6641) (multiplicity 1)  1 V 1.85, 1 Li 1.92, 1 Mn 1.93
O (0.1605, 0.8384, 0.3904) (multiplicity 1)  1 Li 1.91, 1 V 1.93, 1 Mn 1.95, 1 Fe 1.99
O (0.1617, 0.3303, 0.3902) (multiplicity 1)  1 Li 1.88, 2 Mn 1.93, 1 Fe 1.95
O (0.3257, 0.1555, 0.8912) (multiplicity 1)  1 Li 1.91, 1 Mn 1.94, 1 V 1.96, 1 Fe 1.96
O (0.3281, 0.6558, 0.8938) (multiplicity 1)  1 Mn 1.92, 2 V 1.93, 1 Li 1.97
O (0.4765, 0.5144, 0.6627) (multiplicity 1)  1 V 1.87, 1 Li 1.92, 1 Mn 1.93
O (0.4837, 0.9692, 0.6561) (multiplicity 1)  1 Li 1.88, 2 V 1.92, 1 Fe 2.10
O (0.5162, 0.4801, 0.1613) (multiplicity 1)  1 Li 1.89, 1 V 1.91, 1 Mn 1.91, 1 Fe 2.11
O (0.5186, 0.0414, 0.1652) (multiplicity 1)  2 Mn 1.88-1.89, 1 Li 1.92
O (0.6566, 0.3284, 0.3943) (multiplicity 1)  2 Mn 1.91, 1 V 1.92, 1 Li 1.94
O (0.6806, 0.8441, 0.3874) (multiplicity 1)  1 Li 1.88, 1 Mn 1.95, 1 Fe 1.97, 1 V 1.99
O (0.8291, 0.1554, 0.8909) (multiplicity 1)  1 Li 1.91, 1 Mn 1.94, 1 V 1.95, 1 Fe 1.96
O (0.8367, 0.6753, 0.8878) (multiplicity 1)  1 Li 1.91, 2 V 1.96, 1 Fe 1.99
O (0.9701, 0.4825, 0.1551) (multiplicity 1)  1 Li 1.89, 1 V 1.89, 1 Mn 1.92, 1 Fe 2.10
O (0.9958, 0.0014, 0.1853) (multiplicity 1)  1 Li 1.77, 2 Mn 1.89-1.91, 1 V 1.97
O (0.9975, 0.9956, 0.6823) (multiplicity 1)  1 Li 1.77, 1 Mn 1.88, 2 V 1.94



First-principles (meta-GGA SCAN) data for a PBEsol-optimized structure of HfNbPS2, as listed in Alexandria via LeMat-Bulk.

Summary:
DFT total energy, eV per formula unit: -125.1
DOS(E_F), states/eV per atom: 0.75
V, Å³/cell: 103
Polymorph energy (0 for the lowest one), meV/atom: 92.3
ΔE_f (raw), eV per atom: 0.0788

Unit cell a=4.5999 b=4.5999 c=4.8661 alpha=90.00 beta=90.00 gamma=90.00
Last column: nearest neighbours and their distance in Å.
Space group P4/mmm (No. 123)
Symmetry-distinct sites (fractional):
Hf (0.0000, 0.0000, 0.0000) (multiplicity 1)  4 P 3.25, 8 S 3.35
Nb (0.5000, 0.5000, 0.5000) (multiplicity 1)  4 S 2.30, 2 P 2.43
P (0.5000, 0.5000, 0.0000) (multiplicity 1)  2 Nb 2.43
S (0.0000, 0.5000, 0.5000) (multiplicity 2)  2 Nb 2.30



First-principles (meta-GGA SCAN) data for a PBEsol-optimized structure of K3HS3O11, as listed in Alexandria via LeMat-Bulk.

Summary:
DFT total energy, eV per formula unit: -158.9
DOS(E_F), states/eV per atom: 0.00
V, Å³/cell: 1046

Unit cell a=13.3990 b=8.1132 c=9.6831 alpha=90.00 beta=96.58 gamma=90.00
Last column: nearest neighbours and their distance in Å.
Space group P2_1/c (No. 14)
Symmetry-distinct sites (fractional):
K (0.0604, 0.0793, 0.2672) (multiplicity 4)  8 O 2.65-2.94
K (0.3139, 0.1174, 0.6490) (multiplicity 4)  8 O 2.71-2.99
K (0.3291, 0.6399, 0.7911) (multiplicity 4)  8 O 2.69-2.99
H (0.4959, 0.0787, 0.1025) (multiplicity 4)  1 O 1.05
S (0.1025, 0.7294, 0.0086) (multiplicity 4)  3 O 1.45-1.46
S (0.2108, 0.0314, 0.9461) (multiplicity 4)  3 O 1.45-1.46
S (0.4907, 0.2474, 0.9220) (multiplicity 4)  4 O 1.46-1.57
O (0.0029, 0.6803, 0.9468) (multiplicity 4)  1 S 1.45
O (0.1101, 0.7313, 0.6560) (multiplicity 4)  1 S 1.45
O (0.1106, 0.5903, 0.4285) (multiplicity 4)  2 S 1.66
O (0.1745, 0.1655, 0.8548) (multiplicity 4)  1 S 1.45
O (0.1836, 0.6255, 0.9702) (multiplicity 4)  1 S 1.46
O (0.2266, 0.0733, 0.0935) (multiplicity 4)  1 S 1.46
O (0.2917, 0.5629, 0.3970) (multiplicity 4)  1 S 1.45
O (0.3960, 0.1690, 0.3779) (multiplicity 4)  1 S 1.46
O (0.4207, 0.6512, 0.0872) (multiplicity 4)  1 S 1.46
O (0.4883, 0.2053, 0.0799) (multiplicity 4)  1 H 1.05
O (0.4982, 0.0886, 0.8478) (multiplicity 4)  1 H 1.44, 1 S 1.48



First-principles (meta-GGA SCAN) data for a PBEsol-optimized structure of BaSb4Rh, as listed in Alexandria via LeMat-Bulk.

Summary:
DFT total energy, eV per formula unit: -221.4
DOS(E_F), states/eV per atom: 0.70
V, Å³/cell: 661
ΔE_f (raw), eV per atom: 0.1671

Unit cell a=8.7125 b=8.7125 c=8.7125 alpha=90.00 beta=90.00 gamma=90.00
Last column: nearest neighbours and their distance in Å.
Space group F-43m (No. 216)
Symmetry-distinct sites (fractional):
Ba (0.0000, 0.0000, 0.0000) (multiplicity 4)  12 Sb 3.62, 4 Rh 3.77
Sb (0.1237, 0.1237, 0.6237) (multiplicity 16)  6 Sb 3.05-3.11
Rh (0.2500, 0.2500, 0.2500) (multiplicity 4)  12 Sb 3.61, 4 Ba 3.77



First-principles (meta-GGA SCAN) data for a PBEsol-optimized structure of KBeSeBr2, as listed in Alexandria via LeMat-Bulk.

Summary:
DFT total energy, eV per formula unit: -68.7
DOS(E_F), states/eV per atom: 0.47
V, Å³/cell: 197
ΔE_f (raw), eV per atom: 0.5985

Unit cell a=5.8520 b=5.8520 c=5.7626 alpha=90.00 beta=90.00 gamma=90.00
Last column: nearest neighbours and their distance in Å.
Space group P4/mmm (No. 123)
Symmetry-distinct sites (fractional):
K (0.0000, 0.0000, 0.0000) (multiplicity 1)  2 Se 2.88, 4 Br 2.93
Be (0.5000, 0.5000, 0.5000) (multiplicity 1)  8 Br 4.11, 4 Se 4.14
Se (0.0000, 0.0000, 0.5000) (multiplicity 1)  2 K 2.88
Br (0.0000, 0.5000, 0.0000) (multiplicity 2)  2 K 2.93



First-principles (meta-GGA SCAN) data for a PBEsol-optimized structure of Fe2SiPb, as listed in Alexandria via LeMat-Bulk.

Summary:
DFT total energy, eV per formula unit: -120.9
DOS(E_F), states/eV per atom: 0.48
V, Å³/cell: 60
Polymorph energy (0 for the lowest one), meV/atom: 0.0
ΔE_f (raw), eV per atom: 0.2839

Unit cell a=3.1524 b=3.1524 c=6.0405 alpha=90.00 beta=90.00 gamma=90.00
Last column: nearest neighbours and their distance in Å.
Space group P4mm (No. 99)
Symmetry-distinct sites (fractional):
Fe (0.0000, 0.0000, 0.0000) (multiplicity 1)  4 Si 2.39, 4 Fe 2.64
Fe (0.5000, 0.5000, 0.2348) (multiplicity 1)  1 Si 2.27
Si (0.5000, 0.5000, 0.8590) (multiplicity 1)  5 Fe 2.27-2.39
Pb (0.0000, 0.0000, 0.5041) (multiplicity 1)  6 Fe 2.76-3.05



First-principles (meta-GGA SCAN) data for a PBEsol-optimized structure of Na2RhBr, as listed in Alexandria via LeMat-Bulk.

Summary:
DFT total energy, eV per formula unit: -61.4
DOS(E_F), states/eV per atom: 0.91
V, Å³/cell: 325
ΔE_f (raw), eV per atom: 0.0669

Unit cell a=6.8741 b=6.8741 c=6.8741 alpha=90.00 beta=90.00 gamma=90.00
Last column: nearest neighbours and their distance in Å.
Space group Fm-3m (No. 225)
Symmetry-distinct sites (fractional):
Na (0.2500, 0.2500, 0.2500) (multiplicity 8)  4 Br 2.98, 4 Rh 2.98
Rh (0.0000, 0.0000, 0.0000) (multiplicity 4)  8 Na 2.98
Br (0.0000, 0.0000, 0.5000) (multiplicity 4)  8 Na 2.98



First-principles (meta-GGA SCAN) data for a PBEsol-optimized structure of TeBr, as listed in Alexandria via LeMat-Bulk.

Summary:
DFT total energy, eV per formula unit: -56.4
DOS(E_F), states/eV per atom: 0.51
V, Å³/cell: 405
ΔE_f (raw), eV per atom: 0.1495

Unit cell a=7.3979 b=7.3979 c=7.3979 alpha=90.00 beta=90.00 gamma=90.00
Last column: nearest neighbours and their distance in Å.
Space group Fd-3m (No. 227, origin choice 2)
Symmetry-distinct sites (fractional):
Te (0.1250, 0.1250, 0.1250) (multiplicity 8)  4 Br 3.20, 4 Te 3.20
Br (0.1250, 0.1250, 0.6250) (multiplicity 8)  4 Br 3.20, 4 Te 3.20